Here is a geometry-optimized Ba2In4GaAu3 structure from the Alexandria database. Energies are from PBE.

* energy of formation from the pure elements: -0.510 eV/atom
* total energy: -3.28 eV/atom
* space group: No. 115

a = 4.9134 Å, b = 4.9134 Å, c = 11.2665 Å
α = 90.00°, β = 90.00°, γ = 90.00°
With the nearest neighbours (Å) after each atom.
Fractional coordinates of all 10 atoms:
In (0.0000, 0.0000, 0.0000)  4 Au 2.85
In (0.5000, 0.0000, 0.6258)  3 Au 2.77-2.84, 2 Ga 2.84
In (0.5000, 0.5000, 0.0000)  4 Au 2.85
In (0.0000, 0.5000, 0.3742)  3 Au 2.77-2.84, 2 Ga 2.84
Au (0.5000, 0.0000, 0.8714)  5 In 2.77-2.85
Au (0.0000, 0.0000, 0.5000)  4 In 2.84
Au (0.0000, 0.5000, 0.1286)  5 In 2.77-2.85
Ba (0.5000, 0.0000, 0.2565)  2 Ga 3.68, 6 Au 3.68-3.76, 8 In 3.72-3.79
Ba (0.0000, 0.5000, 0.7435)  6 Au 3.68-3.76, 2 Ga 3.68, 8 In 3.72-3.79
Ga (0.5000, 0.5000, 0.5000)  4 In 2.84


Here is a geometry-optimized BaInGaAu6 structure from the Alexandria database. Energies are from PBE.

* energy of formation from the pure elements: -0.213 eV/atom
* total energy: -3.25 eV/atom
* space group: No. 74

a = 10.3174 Å, b = 7.9706 Å, c = 8.4030 Å
α = 118.31°, β = 127.87°, γ = 90.00°
With the nearest neighbours (Å) after each atom.
Fractional coordinates of all 18 atoms:
In (0.0000, 0.0000, 0.5000)  6 Au 2.74-2.85
In (0.5000, 0.0000, 0.5000)  6 Au 2.74-2.85
Au (0.6157, 0.4416, 0.7583)  4 Au 2.75-2.99, 1 Ga 2.80, 1 In 2.85
Au (0.1426, 0.8167, 0.7583)  4 Au 2.75-2.99, 1 Ga 2.80, 1 In 2.85
Au (0.3306, 0.5806, 0.6612)  2 Ga 2.68, 4 Au 2.91
Au (0.6694, 0.4194, 0.3388)  2 Ga 2.68, 4 Au 2.91
Au (0.3843, 0.5584, 0.2417)  4 Au 2.75-2.99, 1 Ga 2.80, 1 In 2.85
Au (0.3363, 0.0863, 0.6725)  2 Ga 2.64, 2 In 2.74
Au (0.3843, 0.1833, 0.2417)  4 Au 2.75-2.99, 1 Ga 2.80, 1 In 2.85
Au (0.8574, 0.1833, 0.2417)  4 Au 2.75-2.99, 1 Ga 2.80, 1 In 2.85
Au (0.8574, 0.5584, 0.2417)  4 Au 2.75-2.99, 1 Ga 2.80, 1 In 2.85
Au (0.6637, 0.9137, 0.3275)  2 Ga 2.64, 2 In 2.74
Au (0.1426, 0.4416, 0.7583)  4 Au 2.75-2.99, 1 Ga 2.80, 1 In 2.85
Au (0.6157, 0.8167, 0.7583)  4 Au 2.75-2.99, 1 Ga 2.80, 1 In 2.85
Ba (0.9999, 0.7499, 0.9998)  6 Au 3.36-3.57, 2 In 3.70
Ba (0.0001, 0.2501, 0.0002)  6 Au 3.36-3.57, 2 In 3.70
Ga (0.5000, 0.0000, 0.0000)  8 Au 2.64-2.80
Ga (0.5000, 0.5000, 0.0000)  8 Au 2.64-2.80


Here is a geometry-optimized Ba2InGa3Au12 structure from the Alexandria database. Energies are from PBE.

* energy of formation from the pure elements: -0.125 eV/atom
* total energy: -3.18 eV/atom
* space group: No. 166

a = 8.6345 Å, b = 8.6345 Å, c = 8.6345 Å
α = 62.24°, β = 62.24°, γ = 62.24°
With the nearest neighbours (Å) after each atom.
Fractional coordinates of all 18 atoms:
Ga (0.0000, 0.0000, 0.5000)  6 Au 2.54-2.56
Ga (0.5000, 0.0000, 0.0000)  6 Au 2.54-2.56
Ga (0.0000, 0.5000, 0.0000)  6 Au 2.54-2.56
Au (0.3428, 0.8692, 0.3428)  2 Ga 2.54, 2 Au 2.82
Au (0.1233, 0.1233, 0.6222)  1 Ga 2.56, 1 In 2.74
Au (0.6572, 0.6572, 0.1308)  2 Ga 2.54, 2 Au 2.82
Au (0.8767, 0.3778, 0.8767)  1 Ga 2.56, 1 In 2.74
Au (0.1233, 0.6222, 0.1233)  1 Ga 2.56, 1 In 2.74
Au (0.8767, 0.8767, 0.3778)  1 Ga 2.56, 1 In 2.74
Au (0.6572, 0.1308, 0.6572)  2 Ga 2.54, 2 Au 2.82
Au (0.6222, 0.1233, 0.1233)  1 Ga 2.56, 1 In 2.74
Au (0.1308, 0.6572, 0.6572)  2 Ga 2.54, 2 Au 2.82
Au (0.3778, 0.8767, 0.8767)  1 Ga 2.56, 1 In 2.74
Au (0.3428, 0.3428, 0.8692)  2 Ga 2.54, 2 Au 2.82
Au (0.8692, 0.3428, 0.3428)  2 Ga 2.54, 2 Au 2.82
Ba (0.6124, 0.6124, 0.6124)  6 Au 3.28-3.34
Ba (0.3876, 0.3876, 0.3876)  6 Au 3.28-3.34
In (0.0000, 0.0000, 0.0000)  6 Au 2.74


Here is a geometry-optimized BaGa2IrAu structure from the Alexandria database. Energies are from PBE.

* energy of formation from the pure elements: -0.497 eV/atom
* total energy: -4.52 eV/atom
* energy above the most stable polymorph in this dataset: 0.0000 eV/atom
* space group: No. 123

a = 4.7897 Å, b = 4.7897 Å, c = 5.4608 Å
α = 90.00°, β = 90.00°, γ = 90.00°
With the nearest neighbours (Å) after each atom.
Fractional coordinates of all 5 atoms:
Ir (0.0000, 0.0000, 0.0000)  4 Ga 2.39
Au (0.0000, 0.0000, 0.5000)  2 Ir 2.73
Ba (0.5000, 0.5000, 0.5000)  4 Au 3.39, 8 Ga 3.63
Ga (0.5000, 0.0000, 0.0000)  2 Ir 2.39
Ga (0.0000, 0.5000, 0.0000)  2 Ir 2.39